# PrTaP2Rh5 | Alexandria | PBE | optimized geometry
data_PrTaP2Rh5
_cell_length_a 4.0692
_cell_length_b 4.0692
_cell_length_c 10.1573
_cell_angle_alpha 90.00
_cell_angle_beta 90.00
_cell_angle_gamma 90.00
_symmetry_space_group_name_H-M 'P 4/m m m'
_symmetry_Int_Tables_number 123
_symmetry_space_group_name_Hall '-P 4 2'
loop_
_atom_site_label
_atom_site_fract_x
_atom_site_fract_y
_atom_site_fract_z
Pr1 0.0000 0.0000 0.0000
Ta1 0.5000 0.5000 0.5000
P1 0.5000 0.5000 0.2207
Rh1 0.0000 0.5000 0.3333
Rh2 0.5000 0.5000 0.0000
# energy relative to the elements: -0.451 eV/atom